Record 1
Tb5GaPd2 (GGA-PBE, optimized geometry); M_tot = 0.00 μB/f.u.; calculated formation energy = -0.597 eV/atom; energy = -5.17 eV per atom
1.0
-3.904 3.904 6.619
3.904 -3.904 6.619
3.904 3.904 -6.619
Tb Ga Pd
10 2 4
direct
0.000 0.000 0.000
0.016 0.516 0.821
0.195 0.016 0.500
0.305 0.805 0.821
0.484 0.305 0.500
0.500 0.500 0.000
0.516 0.695 0.500
0.695 0.195 0.179
0.805 0.984 0.500
0.984 0.484 0.179
0.250 0.250 0.000
0.750 0.750 0.000
0.133 0.367 0.500
0.367 0.867 0.234
0.633 0.133 0.766
0.867 0.633 0.500

***

Record 2
Tb6Ga19Pd3 (GGA-PBE, optimized geometry); M_tot = 0.00 μB/f.u.; calculated formation energy = -0.600 eV/atom; energy = -4.20 eV per atom
1.0
7.926 -2.117 0.000
7.926 2.117 0.000
-3.502 0.000 15.770
Tb Ga Pd
6 19 3
direct
0.000 0.000 0.000
0.155 0.155 0.837
0.339 0.339 0.658
0.500 0.500 0.500
0.660 0.660 0.340
0.838 0.838 0.160
0.019 0.019 0.359
0.066 0.066 0.209
0.147 0.147 0.481
0.204 0.204 0.065
0.258 0.258 0.258
0.295 0.295 0.431
0.352 0.352 0.016
0.433 0.433 0.295
0.478 0.478 0.142
0.515 0.515 0.848
0.570 0.570 0.702
0.641 0.641 0.974
0.644 0.644 0.142
0.704 0.704 0.571
0.745 0.745 0.746
0.791 0.791 0.922
0.854 0.854 0.518
0.922 0.922 0.792
0.980 0.980 0.646
0.141 0.141 0.640
0.357 0.357 0.860
0.857 0.857 0.358

***

Record 3
TbGa2Pd (GGA-PBE, optimized geometry); M_tot = 0.00 μB/f.u.; calculated formation energy = -0.800 eV/atom; energy = -4.77 eV per atom
1.0
4.448 0.000 0.000
0.000 6.634 0.000
-2.217 0.000 5.092
Tb Ga Pd
2 4 2
direct
0.090 0.250 0.179
0.910 0.750 0.821
0.373 0.054 0.745
0.373 0.446 0.745
0.627 0.554 0.255
0.627 0.946 0.255
0.200 0.750 0.400
0.800 0.250 0.600

***

Record 4
Tb3Ga6Pd5 (GGA-PBE, optimized geometry); M_tot = 0.00 μB/f.u.; calculated formation energy = -0.811 eV/atom; energy = -4.96 eV per atom
1.0
4.323 0.000 0.000
0.000 12.859 0.000
0.000 0.000 9.257
Tb Ga Pd
6 12 10
direct
0.250 0.051 0.249
0.250 0.449 0.249
0.250 0.750 0.252
0.750 0.250 0.748
0.750 0.551 0.751
0.750 0.949 0.751
0.250 0.071 0.593
0.250 0.250 0.042
0.250 0.250 0.421
0.250 0.429 0.593
0.250 0.598 0.978
0.250 0.902 0.978
0.750 0.098 0.022
0.750 0.402 0.022
0.750 0.571 0.407
0.750 0.750 0.579
0.750 0.750 0.958
0.750 0.929 0.407
0.250 0.093 0.869
0.250 0.407 0.869
0.250 0.634 0.531
0.250 0.750 0.790
0.250 0.866 0.531
0.750 0.134 0.469
0.750 0.250 0.210
0.750 0.366 0.469
0.750 0.593 0.131
0.750 0.907 0.131